# 1
VASP calculation (PBE) on Ba3Cu after structural relaxation.

a b c (Å): 4.6127 7.6029 7.6065
angles (deg): 52.97 90.00 90.00
Atoms (fractional coordinates):
Ba (0.0000, 0.0911, 0.0912)
Ba (0.5000, 0.7500, 0.7500)
Ba (0.0000, 0.4089, 0.4088)
Cu (0.5000, 0.2500, 0.2500)

Computed properties:
Calculated density ... 3.7 g/cm3
Formation enthalpy at 0 K ... 6.80 kJ/mol of atoms
Space group ... No. 65
Volume ... 213.0 Å³/f.u.
Total magnetic moment ... 0.000 μB/atom

=====

# 2
VASP calculation (PBE) on LaCo2Cu after structural relaxation.

a b c (Å): 4.6045 4.6045 4.6045
angles (deg): 60.00 60.00 60.00
Last column: magnetic moment on the atom in μB.
Atoms (fractional coordinates):
Co (0.0000, 0.0000, 0.0000)  1.49
Co (0.2500, 0.2500, 0.2500)  1.75
Cu (0.5000, 0.5000, 0.5000)  0.03
La (0.7500, 0.7500, 0.7500)  -0.07

Computed properties:
Calculated density ... 7.7 g/cm3
Formation enthalpy at 0 K ... 35.19 kJ/mol of atoms
Space group ... No. 216
Volume ... 69.0 Å³/f.u.
Total magnetic moment ... 0.773 μB/atom

=====

# 3
VASP calculation (PBE) on SrHS2 after structural relaxation.

a b c (Å): 4.9069 4.9069 4.9069
angles (deg): 60.00 60.00 60.00
Last column: magnetic moment on the atom in μB.
Atoms (fractional coordinates):
Sr (0.5000, 0.5000, 0.5000)  0.03
S (0.2500, 0.2500, 0.2500)  0.32
S (0.7500, 0.7500, 0.7500)  0.32
H (0.0000, 0.0000, 0.0000)  0.26

Computed properties:
Calculated density ... 3.0 g/cm3
Energy above the lowest structure with this stoichiometry ... 1010 meV/atom
Space group ... No. 225
Volume ... 83.5 Å³/f.u.
Total magnetic moment ... 0.411 μB/atom

=====

- What is the total magnetic moment in the second record?
  0.773 μB/atom

=====

- calculated density of number 2 (LaCo2Cu)?
  7.7 g/cm3

=====

- Among the records above, which one has the lowest calculated density?
  SrHS2

=====

Repeat the third record exactly.
VASP calculation (PBE) on SrHS2 after structural relaxation.

a b c (Å): 4.9069 4.9069 4.9069
angles (deg): 60.00 60.00 60.00
Last column: magnetic moment on the atom in μB.
Atoms (fractional coordinates):
Sr (0.5000, 0.5000, 0.5000)  0.03
S (0.2500, 0.2500, 0.2500)  0.32
S (0.7500, 0.7500, 0.7500)  0.32
H (0.0000, 0.0000, 0.0000)  0.26

Computed properties:
Calculated density ... 3.0 g/cm3
Energy above the lowest structure with this stoichiometry ... 1010 meV/atom
Space group ... No. 225
Volume ... 83.5 Å³/f.u.
Total magnetic moment ... 0.411 μB/atom